## P
This record from OQMD describes a relaxed structure of NaNbSnOs. The functional is PBE-GGA.

a b c (Å): 4.6072 4.6072 4.6072
angles (deg): 60.00 60.00 60.00
Element x y z (fractional)
Na 0.7500 0.7500 0.7500
Nb 0.0000 0.0000 0.0000
Sn 0.5000 0.5000 0.5000
Os 0.2500 0.2500 0.2500

Output
theoretical density = 10.2 g cm⁻³
total moment = 0.000 μB/atom

***

## Q
This record from OQMD describes a relaxed structure of NaNbSnOs. The functional is PBE-GGA.

a b c (Å): 4.6594 4.6594 4.6594
angles (deg): 60.00 60.00 60.00
Element x y z (fractional)
Sn 0.5000 0.5000 0.5000
Na 0.7500 0.7500 0.7500
Os 0.0000 0.0000 0.0000
Nb 0.2500 0.2500 0.2500

Output
theoretical density = 9.9 g cm⁻³
total moment = 0.001 μB/atom

***

Stability verdict: P, ahead by 271 meV per atom

***

## P
This record from OQMD describes a relaxed structure of NaPrNb. The functional is PBE-GGA.

a b c (Å): 5.1488 5.1488 5.1488
angles (deg): 60.00 60.00 60.00
Element x y z (fractional)
Nb 0.0000 0.0000 0.0000
Pr 0.7500 0.7500 0.7500
Na 0.2500 0.2500 0.2500

Output
theoretical density = 4.4 g cm⁻³
total moment = 1.080 μB/atom

***

## Q
This record from OQMD describes a relaxed structure of NaPrNb. The functional is PBE-GGA.

a b c (Å): 5.1651 5.1651 5.1651
angles (deg): 60.00 60.00 60.00
Element x y z (fractional)
Pr 0.0000 0.0000 0.0000
Na 0.2500 0.2500 0.2500
Nb 0.7500 0.7500 0.7500

Output
theoretical density = 4.4 g cm⁻³
total moment = 1.117 μB/atom

***

Stability verdict: P, ahead by 175 meV per atom

***

## P
This record from OQMD describes a relaxed structure of NaSrNbPt. The functional is PBE-GGA.

a b c (Å): 5.0120 5.0120 5.0120
angles (deg): 60.00 60.00 60.00
Element x y z (fractional)
Pt 0.2500 0.2500 0.2500
Na 0.7500 0.7500 0.7500
Nb 0.5000 0.5000 0.5000
Sr 0.0000 0.0000 0.0000

Output
theoretical density = 7.4 g cm⁻³
total moment = 0.370 μB/atom

***

## Q
This record from OQMD describes a relaxed structure of NaSrNbPt. The functional is PBE-GGA.

a b c (Å): 4.8940 4.8940 4.8940
angles (deg): 60.00 60.00 60.00
Element x y z (fractional)
Nb 0.2500 0.2500 0.2500
Pt 0.5000 0.5000 0.5000
Sr 0.0000 0.0000 0.0000
Na 0.7500 0.7500 0.7500

Output
theoretical density = 8.0 g cm⁻³
total moment = 0.001 μB/atom

***

Stability verdict: P, ahead by 7 meV per atom

***

## P
This record from OQMD describes a relaxed structure of NaSrNb. The functional is PBE-GGA.

a b c (Å): 5.5152 5.5152 5.5152
angles (deg): 60.00 60.00 60.00
Element x y z (fractional)
Sr 0.0000 0.0000 0.0000
Na 0.5000 0.5000 0.5000
Nb 0.2500 0.2500 0.2500

Output
theoretical density = 2.8 g cm⁻³
total moment = 1.650 μB/atom

***

## Q
This record from OQMD describes a relaxed structure of NaSrNb. The functional is PBE-GGA.

a b c (Å): 5.5466 5.5466 5.5466
angles (deg): 60.00 60.00 60.00
Element x y z (fractional)
Na 0.2500 0.2500 0.2500
Nb 0.7500 0.7500 0.7500
Sr 0.0000 0.0000 0.0000

Output
theoretical density = 2.8 g cm⁻³
total moment = 1.632 μB/atom

***

Stability verdict: P, ahead by 164 meV per atom

***

## P
This record from OQMD describes a relaxed structure of NaNd2. The functional is PBE-GGA.

a b c (Å): 9.5743 9.5743 9.5743
angles (deg): 60.00 60.00 60.00
Element x y z (fractional)
Nd 0.3750 0.3750 0.8750
Nd 0.3750 0.3750 0.3750
Nd 0.8750 0.3750 0.3750
Nd 0.3750 0.8750 0.3750
Na 0.2500 0.2500 0.2500
Na 0.5000 0.5000 0.5000

Output
theoretical density = 1.7 g cm⁻³
total moment = 1.747 μB/atom

***

## Q
This record from OQMD describes a relaxed structure of NaNd2. The functional is PBE-GGA.

a b c (Å): 6.8386 6.8386 6.8386
angles (deg): 60.00 60.00 60.00
Element x y z (fractional)
Na 0.2500 0.2500 0.2500
Na 0.0000 0.0000 0.0000
Nd 0.1250 0.6250 0.6250
Nd 0.6250 0.1250 0.6250
Nd 0.6250 0.6250 0.6250
Nd 0.6250 0.6250 0.1250

Output
theoretical density = 4.6 g cm⁻³
total moment = 0.000 μB/atom

***

Stability verdict: Q, ahead by 1995 meV per atom

***

## P
This record from OQMD describes a relaxed structure of NaNd. The functional is PBE-GGA.

a b c (Å): 4.6287 4.6287 4.6287
angles (deg): 60.00 60.00 60.00
Element x y z (fractional)
Nd 0.5000 0.5000 0.5000
Na 0.0000 0.0000 0.0000

Output
theoretical density = 4.0 g cm⁻³
total moment = 0.083 μB/atom

***

## Q
This record from OQMD describes a relaxed structure of NaNd. The functional is PBE-GGA.

a b c (Å): 5.1316 5.1316 5.7506
angles (deg): 90.00 90.00 120.00
Element x y z (fractional)
Nd 0.3333 0.6667 0.2500
Nd 0.6667 0.3333 0.7500
Na 0.0000 0.0000 0.0000
Na 0.0000 0.0000 0.5000

Output
theoretical density = 4.2 g cm⁻³
total moment = 0.012 μB/atom

***

Stability verdict: Q, ahead by 40 meV per atom

***

## P
This record from OQMD describes a relaxed structure of NaNd. The functional is PBE-GGA.

a b c (Å): 3.5193 3.5193 6.2646
angles (deg): 90.00 90.00 120.00
Element x y z (fractional)
Na 0.6667 0.3333 0.7500
Nd 0.3333 0.6667 0.2500

Output
theoretical density = 4.1 g cm⁻³
total moment = 0.007 μB/atom

***

## Q
This record from OQMD describes a relaxed structure of NaNd. The functional is PBE-GGA.

a b c (Å): 5.0185 5.0185 5.0185
angles (deg): 60.00 60.00 60.00
Element x y z (fractional)
Na 0.0000 0.0000 0.0000
Nd 0.2500 0.2500 0.2500

Output
theoretical density = 3.1 g cm⁻³
total moment = 0.299 μB/atom

***

## R
This record from OQMD describes a relaxed structure of NaNd. The functional is PBE-GGA.

a b c (Å): 4.9550 4.9550 6.9176
angles (deg): 90.00 90.00 120.00
Element x y z (fractional)
Na 0.3333 0.6667 0.2500
Na 0.6667 0.3333 0.7500
Nd 0.0000 0.0000 0.5000
Nd 0.0000 0.0000 0.0000

Output
theoretical density = 3.8 g cm⁻³
total moment = 0.017 μB/atom

***

Stability verdict: P, ahead by 541 meV per atom

***

## P
This record from OQMD describes a relaxed structure of Na2Nd. The functional is PBE-GGA.

a b c (Å): 5.4785 5.4785 5.4785
angles (deg): 60.00 60.00 60.00
Element x y z (fractional)
Na 0.2500 0.2500 0.2500
Na 0.7500 0.7500 0.7500
Nd 0.0000 0.0000 0.0000

Output
theoretical density = 2.7 g cm⁻³
total moment = 0.002 μB/atom

***

## Q
This record from OQMD describes a relaxed structure of Na2Nd. The functional is PBE-GGA.

a b c (Å): 6.4481 6.4481 10.4198
angles (deg): 90.00 90.00 120.00
Element x y z (fractional)
Nd 0.6667 0.3333 0.4372
Nd 0.6667 0.3333 0.0628
Nd 0.3333 0.6667 0.9372
Nd 0.3333 0.6667 0.5628
Na 0.8290 0.1710 0.7500
Na 0.6581 0.8290 0.2500
Na 0.0000 0.0000 0.0000
Na 0.1710 0.3419 0.2500
Na 0.8290 0.6581 0.7500
Na 0.1710 0.8290 0.2500
Na 0.0000 0.0000 0.5000
Na 0.3419 0.1710 0.7500

Output
theoretical density = 3.4 g cm⁻³
total moment = 0.000 μB/atom

***

Stability verdict: Q, ahead by 534 meV per atom